A plane-wave DFT calculation with PBE+U was carried out for a relaxed VHgN2O crystal.

CIF file:
```
data_VHgN2O
_chemical_formula_sum 'V1 Hg1 N2 O1'
_symmetry_space_group_name_H-M 'P 4/m m m'
_symmetry_Int_Tables_number 123
_symmetry_space_group_name_Hall '-P 4 2'
_cell_length_a 3.999
_cell_length_b 3.999
_cell_length_c 3.751
_cell_angle_alpha 90.00
_cell_angle_beta 90.00
_cell_angle_gamma 90.00
loop_
_atom_site_label
_atom_site_fract_x
_atom_site_fract_y
_atom_site_fract_z
V1 0.000 0.000 0.000
Hg1 0.500 0.500 0.500
N1 0.000 0.500 0.000
O1 0.000 0.000 0.500
```

Values from the calculation:
total moment: 0.200 μB per atom
DOS(E_F): 0.48 states/eV per atom
energy: -5.4473 eV per atom